This record from the Alexandria database describes a geometry-optimized Nd6Te2AsSe3 structure. The functional is GGA-PBE.

Its size of the total moment is 0.0 μB/cell. The value obtained for the total energy is -5.833 eV per atom. The value obtained for the uncorrected formation energy is -1667 meV/atom. The density of states at the Fermi level is 4.7 states/eV/f.u.

Unit cell a=4.2955 b=8.7348 c=9.6840 alpha=102.60 beta=102.81 gamma=90.00
Fractional coordinates of all 12 atoms:
Te1 0.8315 0.6607 0.6631
Se1 0.5000 0.5000 0.0000
Te2 0.1685 0.3393 0.3369
Se2 0.1703 0.8394 0.3407
Nd1 0.3398 0.9346 0.6797
As1 0.5000 0.0000 0.0000
Nd2 0.0052 0.7620 0.0104
Nd3 0.6573 0.6038 0.3146
Nd4 0.3427 0.3962 0.6854
Nd5 0.6602 0.0654 0.3203
Se3 0.8297 0.1606 0.6593
Nd6 0.9948 0.2380 0.9896

---

This record from the Alexandria database describes a geometry-optimized Nd6Te3As2Se structure. The functional is GGA-PBE.

Its size of the total moment is 0.0 μB/cell. The value obtained for the total energy is -5.818 eV per atom. The value obtained for the uncorrected formation energy is -1583 meV/atom. The density of states at the Fermi level is 4.7 states/eV/f.u.

Unit cell a=4.3375 b=8.8596 c=9.8737 alpha=104.70 beta=102.69 gamma=90.00
Fractional coordinates of all 12 atoms:
Nd1 0.9914 0.7626 0.9828
Nd2 0.6629 0.1034 0.3258
Te1 0.1653 0.8330 0.3305
Nd3 0.6739 0.5666 0.3479
Te2 0.5000 0.5000 0.0000
Te3 0.8347 0.1670 0.6695
Se1 0.5000 0.0000 0.0000
Nd4 0.3371 0.8966 0.6742
Nd5 0.0086 0.2374 0.0172
As1 0.1667 0.3330 0.3334
Nd6 0.3261 0.4334 0.6521
As2 0.8333 0.6670 0.6666

---

This record from the Alexandria database describes a geometry-optimized Nd8Te4As3Se structure. The functional is GGA-PBE.

Its size of the total moment is 0.0 μB/cell. The value obtained for the total energy is -5.833 eV per atom. The value obtained for the uncorrected formation energy is -1574 meV/atom. The density of states at the Fermi level is 8.0 states/eV/f.u.

Unit cell a=8.6683 b=8.8786 c=8.6685 alpha=119.22 beta=120.00 gamma=90.00
Fractional coordinates of all 16 atoms:
As1 0.5000 0.5000 0.0000
Te1 0.5000 0.0000 0.0000
Nd1 0.7575 0.2797 0.5151
As2 0.5000 0.5000 0.5000
As3 0.0000 0.5000 0.5000
Te2 0.5000 0.0000 0.5000
Nd2 0.7400 0.7201 0.4800
Nd3 0.7354 0.7202 0.9778
Nd4 0.2425 0.7203 0.4849
Nd5 0.2646 0.2798 0.0222
Te3 0.0000 0.0000 0.5000
Te4 0.0000 0.0000 0.0000
Nd6 0.7576 0.2798 0.0222
Se1 0.0000 0.5000 0.0000
Nd7 0.2600 0.2799 0.5200
Nd8 0.2424 0.7202 0.9778

---

This record from the Alexandria database describes a geometry-optimized Nd8Te4AsSe3 structure. The functional is GGA-PBE.

Its size of the total moment is 0.0 μB/cell. The value obtained for the total energy is -5.738 eV per atom. The value obtained for the uncorrected formation energy is -1625 meV/atom. The density of states at the Fermi level is 5.5 states/eV/f.u.

Unit cell a=8.6830 b=8.8252 c=8.6829 alpha=119.47 beta=120.00 gamma=90.00
Fractional coordinates of all 16 atoms:
Nd1 0.7631 0.2822 0.5261
As1 0.0000 0.5000 0.0000
Te1 0.5000 0.0000 0.0000
Te2 0.5000 0.0000 0.5000
Te3 0.0000 0.0000 0.5000
Nd2 0.7631 0.2822 0.0191
Se1 0.0000 0.5000 0.5000
Nd3 0.2560 0.2822 0.0191
Nd4 0.2606 0.2819 0.5213
Nd5 0.7394 0.7181 0.4787
Te4 0.0000 0.0000 0.0000
Nd6 0.2369 0.7178 0.9809
Se2 0.5000 0.5000 0.5000
Nd7 0.7440 0.7178 0.9809
Se3 0.5000 0.5000 0.0000
Nd8 0.2369 0.7178 0.4739